# LaTaBr | the Alexandria database | PBE | relaxed
data_LaTaBr
_chemical_formula_sum 'La4 Ta4 Br4'
_space_group_name_H-M_alt 'F -4 3 m'
_space_group_IT_number 216
_space_group_name_Hall 'F -4 2 3'
_cell_length_a 6.9030
_cell_length_b 6.9030
_cell_length_c 6.9030
_cell_angle_alpha 90.00
_cell_angle_beta 90.00
_cell_angle_gamma 90.00
loop_
_atom_site_label
_atom_site_type_symbol
_atom_site_fract_x
_atom_site_fract_y
_atom_site_fract_z
_atom_site_occupancy
La1 La 0.0000 0.0000 0.0000 1
Ta1 Ta 0.0000 0.0000 0.5000 1
Br1 Br 0.2500 0.2500 0.7500 1
# energy relative to the elements, uncorrected: 15.3 kcal/mol of atoms
# uncorrected energy: -5.49 eV per atom
# DOS at the Fermi energy: 20.2 states/eV/cell